(1)
SiSb3Se | Alexandria | PBE | relaxed; ΔE to the lowest computed polymorph = 0.0000 eV per atom; space group = Pm-3m, No. 221; formation energy (no corrections) = 0.690 eV per atom
1.0
5.203 0.000 0.000
0.000 5.203 0.000
0.000 0.000 5.203
Si Sb Se
1 3 1
Direct
0.000 0.000 0.000 Si
0.000 0.000 0.500 Sb
0.000 0.500 0.000 Sb
0.500 0.000 0.000 Sb
0.500 0.500 0.500 Se



(2)
Si2SbSe | Alexandria | PBE | relaxed; ΔE to the lowest computed polymorph = 0.3337 eV per atom; space group = C2/m, No. 12; formation energy (no corrections) = 0.405 eV per atom
1.0
5.781 -1.864 0.000
5.781 1.864 0.000
-2.236 0.000 4.809
Si Sb Se
2 1 1
Direct
0.182 0.182 0.479 Si
0.818 0.818 0.521 Si
0.500 0.500 0.500 Sb
0.000 0.000 0.000 Se



(3)
SiSbSe | Alexandria | PBE | relaxed; ΔE to the lowest computed polymorph = 0.3177 eV per atom; space group = I4mm, No. 107; formation energy (no corrections) = 0.338 eV per atom
1.0
-1.997 1.997 5.095
1.997 -1.997 5.095
1.997 1.997 -5.095
Si Sb Se
1 1 1
Direct
0.000 0.000 0.000 Si
0.506 0.506 0.000 Sb
0.773 0.773 0.000 Se



(4)
Si2SbSe | Alexandria | PBE | relaxed; ΔE to the lowest computed polymorph = 0.4711 eV per atom; space group = I-4m2, No. 119; formation energy (no corrections) = 0.542 eV per atom
1.0
-1.952 1.952 5.572
1.952 -1.952 5.572
1.952 1.952 -5.572
Si Sb Se
2 1 1
Direct
0.000 0.000 0.000 Si
0.750 0.250 0.500 Si
0.250 0.750 0.500 Sb
0.500 0.500 0.000 Se



(5)
SiSbSe2 | Alexandria | PBE | relaxed; ΔE to the lowest computed polymorph = 0.0016 eV per atom; space group = R-3m, No. 166; formation energy (no corrections) = -0.060 eV per atom
1.0
1.799 1.039 8.656
-1.799 1.039 8.656
0.000 -2.078 8.656
Si Sb Se
1 1 2
Direct
0.000 0.000 0.000 Si
0.500 0.500 0.500 Sb
0.389 0.389 0.389 Se
0.611 0.611 0.611 Se



(6)
Si3SbSe | Alexandria | PBE | relaxed; ΔE to the lowest computed polymorph = 0.0000 eV per atom; space group = Pm-3m, No. 221; formation energy (no corrections) = 0.955 eV per atom
1.0
4.944 0.000 0.000
0.000 4.944 0.000
0.000 0.000 4.944
Si Sb Se
3 1 1
Direct
0.000 0.000 0.500 Si
0.000 0.500 0.000 Si
0.500 0.000 0.000 Si
0.500 0.500 0.500 Sb
0.000 0.000 0.000 Se



(7)
SiSbSe2 | Alexandria | PBE | relaxed; ΔE to the lowest computed polymorph = 0.3517 eV per atom; space group = Fm-3m, No. 225; formation energy (no corrections) = 0.290 eV per atom
1.0
0.000 3.509 3.509
3.509 0.000 3.509
3.509 3.509 0.000
Si Sb Se
1 1 2
Direct
0.000 0.000 0.000 Si
0.500 0.500 0.500 Sb
0.250 0.250 0.250 Se
0.750 0.750 0.750 Se



(8)
SiSbSe2 | Alexandria | PBE | relaxed; ΔE to the lowest computed polymorph = 0.5267 eV per atom; space group = F-43m, No. 216; formation energy (no corrections) = 0.465 eV per atom
1.0
0.000 3.482 3.482
3.482 0.000 3.482
3.482 3.482 0.000
Si Sb Se
1 1 2
Direct
0.000 0.000 0.000 Si
0.250 0.250 0.250 Sb
0.500 0.500 0.500 Se
0.750 0.750 0.750 Se



(9)
SiSbSe2 | Alexandria | PBE | relaxed; ΔE to the lowest computed polymorph = 0.0937 eV per atom; space group = R3m, No. 160; formation energy (no corrections) = 0.032 eV per atom
1.0
1.897 1.095 7.619
-1.897 1.095 7.619
0.000 -2.190 7.619
Si Sb Se
1 1 2
Direct
0.000 0.000 0.000 Si
0.749 0.749 0.749 Sb
0.275 0.275 0.275 Se
0.492 0.492 0.492 Se



(10)
SiSbSe | Alexandria | PBE | relaxed; ΔE to the lowest computed polymorph = 0.4885 eV per atom; space group = F-43m, No. 216; formation energy (no corrections) = 0.508 eV per atom
1.0
0.000 3.392 3.392
3.392 0.000 3.392
3.392 3.392 0.000
Si Sb Se
1 1 1
Direct
0.000 0.000 0.000 Si
0.250 0.250 0.250 Sb
0.500 0.500 0.500 Se



(11)
Si4SbSe | Alexandria | PBE | relaxed; space group = F-43m, No. 216; formation energy (no corrections) = 0.562 eV per atom
1.0
0.000 3.780 3.780
3.780 0.000 3.780
3.780 3.780 0.000
Si Sb Se
4 1 1
Direct
0.376 0.376 0.376 Si
0.376 0.376 0.871 Si
0.376 0.871 0.376 Si
0.871 0.376 0.376 Si
0.000 0.000 0.000 Sb
0.750 0.750 0.750 Se



(12)
Si2SbSe | Alexandria | PBE | relaxed; ΔE to the lowest computed polymorph = 0.1633 eV per atom; space group = I4/mmm, No. 139; formation energy (no corrections) = 0.234 eV per atom
1.0
-2.765 2.765 2.787
2.765 -2.765 2.787
2.765 2.765 -2.787
Si Sb Se
2 1 1
Direct
0.000 0.500 0.500 Si
0.500 0.000 0.500 Si
0.000 0.000 0.000 Sb
0.500 0.500 0.000 Se